1.
PrDy10Er4 (PBE, relaxed); calculated formation energy = 732.7 meV/atom; VASP energy = -3.87 eV per atom; density of states at the Fermi level = 18.46 states/eV/cell
1.0
-6.0626 6.0626 3.8268
6.0626 -6.0626 3.8268
6.0626 6.0626 -3.8268
Pr Dy Er
1 10 4
Cartesian
0.0000 0.0000 0.0000 Pr
4.8407 3.6086 -1.8944 Dy
2.4539 -1.2219 1.9325 Dy
6.0626 0.0000 1.9134 Dy
3.6086 7.2845 -1.8944 Dy
1.2219 2.4539 1.9325 Dy
4.8407 3.6086 1.8944 Dy
2.4539 -1.2219 5.7212 Dy
0.0000 6.0626 1.9134 Dy
3.6086 7.2845 1.8944 Dy
1.2219 2.4539 5.7212 Dy
7.2748 2.4217 0.0000 Er
2.4217 4.8503 0.0000 Er
3.6409 1.2123 3.8268 Er
-1.2123 3.6409 3.8268 Er

---

2.
Al2Tl (PBE, relaxed); calculated formation energy = 434.0 meV/atom; polymorph energy (0 for the lowest one) = 258 meV per atom; VASP energy = -2.85 eV per atom; density of states at the Fermi level = 4.93 states/eV/cell
1.0
7.6033 0.0000 0.0000
-3.8016 6.5846 0.0000
0.0000 0.0000 4.1129
Al Tl
6 3
Cartesian
-0.9966 1.7261 0.0000 Al
-2.2677 3.9277 2.0565 Al
1.9931 0.0000 0.0000 Al
1.5340 2.6569 2.0565 Al
4.5353 0.0000 2.0565 Al
2.8051 4.8585 0.0000 Al
0.0000 0.0000 2.0565 Tl
0.0000 4.3897 0.0000 Tl
3.8016 2.1949 0.0000 Tl

---

3.
Cd2Hg5H2 (PBE, relaxed); VASP energy = -0.97 eV per atom; density of states at the Fermi level = 1.64 states/eV/cell
1.0
5.5634 0.0000 0.0000
1.9812 5.8423 0.0000
0.6465 0.9649 6.2875
Cd Hg H
2 5 2
Cartesian
2.4005 2.9673 2.2106 Cd
5.7907 3.8399 4.0769 Cd
0.0000 0.0000 0.0000 Hg
3.0412 3.6984 5.3644 Hg
3.7360 5.7900 2.6382 Hg
4.4551 1.0172 3.6492 Hg
5.1500 3.1088 0.9230 Hg
2.1712 1.0660 5.5832 H
6.0200 5.7412 0.7043 H

---

4.
K2SnGe (PBE, relaxed); calculated formation energy = -147.2 meV/atom; polymorph energy (0 for the lowest one) = 0 meV per atom; VASP energy = -2.85 eV per atom; density of states at the Fermi level = 3.89 states/eV/cell
1.0
4.3289 0.0000 0.0000
0.0000 10.2385 0.0000
0.0000 0.0000 6.9309
K Sn Ge
4 2 2
Cartesian
0.0000 1.8963 0.0000 K
0.0000 8.3421 0.0000 K
2.1645 3.2229 3.4654 K
2.1645 7.0156 3.4654 K
0.0000 0.0000 3.3766 Sn
2.1645 5.1192 6.8420 Sn
0.0000 5.1192 1.5082 Ge
2.1645 0.0000 4.9736 Ge

---

5.
ThBeGe (PBE, relaxed); calculated formation energy = -648.3 meV/atom; VASP energy = -5.90 eV per atom; density of states at the Fermi level = 2.41 states/eV/cell
1.0
3.9709 0.0000 0.0000
-1.9855 3.4389 0.0000
0.0000 0.0000 12.9031
Th Be Ge
3 3 3
Cartesian
0.0000 0.0000 0.0000 Th
0.0000 0.0000 4.3011 Th
0.0000 0.0000 8.6020 Th
0.0000 2.2926 6.4516 Be
1.9855 1.1463 2.1401 Be
1.9855 1.1463 10.7630 Be
0.0000 2.2926 2.1587 Ge
0.0000 2.2926 10.7444 Ge
1.9855 1.1463 6.4516 Ge

---

6.
Pr4Nd2Tl (PBE, relaxed); calculated formation energy = -11.8 meV/atom; polymorph energy (0 for the lowest one) = 0 meV per atom; VASP energy = -4.44 eV per atom; density of states at the Fermi level = 21.73 states/eV/cell
1.0
6.5041 0.0000 0.0000
0.0000 11.1510 0.0000
-0.0416 0.0000 6.7014
Pr Nd Tl
8 4 2
Cartesian
0.4838 1.7282 0.2313 Pr
0.4630 3.8474 3.5820 Pr
2.5592 8.2292 5.1248 Pr
2.5800 8.4973 1.7741 Pr
3.8825 2.6537 4.9273 Pr
3.9033 2.9218 1.5766 Pr
5.9995 7.3037 3.1194 Pr
5.9787 9.4229 6.4701 Pr
1.5876 0.3769 3.6448 Nd
1.6084 5.1986 0.2941 Nd
4.8541 5.9524 6.4073 Nd
4.8749 10.7741 3.0566 Nd
3.2521 0.0000 0.0000 Tl
3.2313 5.5755 3.3507 Tl